No. 1
First-principles (PBE) data for NbVTcMo after structural relaxation, as listed in Alexandria.

Lattice parameters (Å, degrees): 3.1347 3.1347 6.2873 90.00 90.00 90.00
With the nearest neighbours (Å) after each atom.
Fractional positions:
Nb: 0.0000 0.0000 0.0000  4 Tc 2.75, 4 Mo 2.77
V: 0.0000 0.0000 0.4963  4 Tc 2.68, 4 Mo 2.68
Tc: 0.5000 0.5000 0.2576  4 V 2.68, 4 Nb 2.75
Mo: 0.5000 0.5000 0.7358  4 V 2.68, 4 Nb 2.77

Results
Energy above the most stable polymorph in this dataset in eV/atom: 0.003
ΔH_f (0 K) in meV per atom: -220
Space-group type: P4mm, No. 99

No. 2
First-principles (PBE) data for Eu3MgIr after structural relaxation, as listed in Alexandria.

Lattice parameters (Å, degrees): 5.6316 5.6316 5.6316 90.00 90.00 90.00
With the nearest neighbours (Å) after each atom.
Fractional positions:
Eu: 0.0000 0.0000 0.5000  2 Ir 2.82
Eu: 0.0000 0.5000 0.0000  2 Ir 2.82
Eu: 0.5000 0.0000 0.0000  2 Ir 2.82
Mg: 0.5000 0.5000 0.5000  12 Eu 3.98
Ir: 0.0000 0.0000 0.0000  6 Eu 2.82

Results
ΔH_f (0 K) in meV per atom: -186
Space-group type: Pm-3m, No. 221

No. 3
First-principles (PBE) data for SrSi2IrPd after structural relaxation, as listed in Alexandria.

Lattice parameters (Å, degrees): 5.9911 5.9911 5.9911 138.88 138.88 59.56
With the nearest neighbours (Å) after each atom.
Fractional positions:
Sr: 0.0000 0.0000 0.0000  8 Si 3.26, 4 Pd 3.34, 4 Ir 3.34
Si: 0.3711 0.3711 0.0000  2 Ir 2.45, 2 Pd 2.45, 1 Si 2.68
Si: 0.6289 0.6289 0.0000  2 Ir 2.45, 2 Pd 2.45, 1 Si 2.68
Ir: 0.2500 0.7500 0.5000  4 Si 2.45
Pd: 0.7500 0.2500 0.5000  4 Si 2.45

Results
Total DFT energy (no corrections) in eV per atom: -6.07
Space-group type: I-4m2, No. 119

No. 4
First-principles (PBE) data for Ho2LuAu after structural relaxation, as listed in Alexandria.

Lattice parameters (Å, degrees): 3.5563 3.5563 8.5331 90.00 90.00 90.00
With the nearest neighbours (Å) after each atom.
Fractional positions:
Ho: 0.0000 0.0000 0.2108  4 Au 3.09
Ho: 0.0000 0.0000 0.7892  4 Au 3.09
Lu: 0.5000 0.5000 0.5000  8 Ho 3.52, 4 Lu 3.56
Au: 0.5000 0.5000 0.0000  8 Ho 3.09

Results
Energy above the most stable polymorph in this dataset in eV/atom: 0.000
ΔH_f (0 K) in meV per atom: -387
Space-group type: P4/mmm, No. 123

No. 5
First-principles (PBE) data for CoTeP2 after structural relaxation, as listed in Alexandria.

Lattice parameters (Å, degrees): 3.6630 3.6630 7.7142 106.36 106.36 51.94
With the nearest neighbours (Å) after each atom.
Fractional positions:
Co: 0.0000 0.0000 0.0000  6 P 2.22-2.25
Te: 0.5000 0.5000 0.5000  2 P 2.74
P: 0.3528 0.3528 0.1260  3 Co 2.22-2.25
P: 0.6472 0.6472 0.8740  3 Co 2.22-2.25

Results
Total DFT energy (no corrections) in eV per atom: -5.33
Space-group type: C2/m, No. 12

Number 1: theoretical density 9.1 g/cm³. Number 2: theoretical density 6.3 g/cm³. Number 3: theoretical density 8.0 g/cm³. Number 4: theoretical density 10.8 g/cm³. Number 5: theoretical density 5.3 g/cm³.